Density functional theory data (PBE) for a geometry-optimized Th3Ga2Ag5 structure.

abc: 12.1629 12.5378 6.1688
angles: 90.00 90.00 90.00
Space group Ibam (No. 72)
Asymmetric unit:
Th  0.0000  0.0000  0.2500 (multiplicity 4)
Th  0.1190  0.2713  0.0000 (multiplicity 8)
Ga  0.1347  0.1592  0.5000 (multiplicity 8)
Ag  0.0000  0.5000  0.2500 (multiplicity 4)
Ag  0.1311  0.3599  0.5000 (multiplicity 8)
Ag  0.2498  0.0000  0.2500 (multiplicity 8)

Computed properties:
* DFT formation energy: -7.09 kJ/mol of atoms
* ρ: 9.7 g/cm³
* electronic total energy: -173.2 eV/cell

Density functional theory data (PBE) for a geometry-optimized Ce3YCo structure.

abc: 5.2451 5.2451 5.2451
angles: 90.00 90.00 90.00
Space group Pm-3m (No. 221)
Asymmetric unit:
Ce  0.0000  0.0000  0.5000 (multiplicity 3)
Y  0.5000  0.5000  0.5000 (multiplicity 1)
Co  0.0000  0.0000  0.0000 (multiplicity 1)

Computed properties:
* DFT formation energy: 8.16 kJ/mol of atoms
* ρ: 6.5 g/cm³
* electronic total energy: -30.9 eV/cell

Density functional theory data (PBE) for a geometry-optimized Be5C structure.

abc: 9.0493 2.7146 4.4637
angles: 90.00 116.92 90.00
Space group Cm (No. 8)
Asymmetric unit:
Be  0.0000  0.0000  0.0000 (multiplicity 2)
Be  0.0418  0.0000  0.5406 (multiplicity 2)
Be  0.1860  0.5000  0.3085 (multiplicity 2)
Be  0.2563  0.0000  0.0035 (multiplicity 2)
Be  0.3736  0.0000  0.6133 (multiplicity 2)
C  0.0958  0.5000  0.8510 (multiplicity 2)

Computed properties:
* DFT formation energy: 28.52 kJ/mol of atoms
* energy above the most stable polymorph in this dataset: 0.0 kJ/mol of atoms
* ρ: 1.9 g/cm³
* electronic total energy: -52.2 eV/cell

Density functional theory data (PBE) for a geometry-optimized YTmFeAg structure.

abc: 6.9260 6.9260 6.9260
angles: 90.00 90.00 90.00
Space group F-43m (No. 216)
Asymmetric unit:
Y  0.0000  0.0000  0.0000 (multiplicity 4)
Tm  0.0000  0.0000  0.5000 (multiplicity 4)
Fe  0.2500  0.2500  0.7500 (multiplicity 4)
Ag  0.2500  0.2500  0.2500 (multiplicity 4)

Computed properties:
* DFT formation energy: -2.05 kJ/mol of atoms
* ρ: 8.4 g/cm³
* electronic total energy: -89.3 eV/cell

Density functional theory data (PBE) for a geometry-optimized SmEuNiPd structure.

abc: 7.0816 7.0816 7.0816
angles: 90.00 90.00 90.00
Space group F-43m (No. 216)
Asymmetric unit:
Sm  0.0000  0.0000  0.0000 (multiplicity 4)
Eu  0.0000  0.0000  0.5000 (multiplicity 4)
Ni  0.2500  0.2500  0.2500 (multiplicity 4)
Pd  0.2500  0.2500  0.7500 (multiplicity 4)

Computed properties:
* DFT formation energy: -41.16 kJ/mol of atoms
* ρ: 8.7 g/cm³
* electronic total energy: -110.7 eV/cell

Density functional theory data (PBE) for a geometry-optimized MnB4 structure.

abc: 3.7957 3.7957 3.7957
angles: 90.00 90.00 90.00
Space group Pm-3m (No. 221)
Asymmetric unit:
Mn  0.0000  0.0000  0.0000 (multiplicity 1)
B  0.0000  0.0000  0.5000 (multiplicity 3)
B  0.5000  0.5000  0.5000 (multiplicity 1)

Computed properties:
* DFT formation energy: 165.82 kJ/mol of atoms
* energy above the most stable polymorph in this dataset: 193.5 kJ/mol of atoms
* ρ: 3.0 g/cm³
* electronic total energy: -27.3 eV/cell

Density functional theory data (PBE) for a geometry-optimized Tb3Sm7Dy structure.

abc: 12.7634 11.2666 5.8781
angles: 90.00 117.39 90.00
Space group C2/m (No. 12)
Asymmetric unit:
Tb  0.0000  0.0000  0.0000 (multiplicity 2)
Tb  0.0000  0.2051  0.5000 (multiplicity 4)
Sm  0.0000  0.5000  0.5000 (multiplicity 2)
Sm  0.1950  0.2075  0.1946 (multiplicity 8)
Sm  0.2095  0.0000  0.7078 (multiplicity 4)
Dy  0.0000  0.5000  0.0000 (multiplicity 2)

Computed properties:
* DFT formation energy: 23.33 kJ/mol of atoms
* energy above the most stable polymorph in this dataset: 11.3 kJ/mol of atoms
* ρ: 7.5 g/cm³
* electronic total energy: -97.7 eV/cell

Density functional theory data (PBE) for a geometry-optimized Pu2Mn3Tc structure.

abc: 8.2481 5.4626 4.9348
angles: 90.00 117.75 90.00
Space group C2/m (No. 12)
Asymmetric unit:
Pu  0.1276  0.0000  0.3727 (multiplicity 4)
Mn  0.0000  0.5000  0.5000 (multiplicity 2)
Mn  0.2500  0.2500  0.0000 (multiplicity 4)
Tc  0.0000  0.5000  0.0000 (multiplicity 2)

Computed properties:
* DFT formation energy: 2.31 kJ/mol of atoms
* ρ: 12.7 g/cm³
* electronic total energy: -132.8 eV/cell